# Li4Fe3CuO8 PBE with a Hubbard U optimized geometry
data_Li4Fe3CuO8
_chemical_formula_sum 'Li12 Fe9 Cu3 O24'
_symmetry_space_group_name_H-M 'R -3 m'
_symmetry_Int_Tables_number 166
_symmetry_space_group_name_Hall '-R 3 2"'
_cell_length_a 5.9337
_cell_length_b 5.9337
_cell_length_c 14.6859
_cell_angle_alpha 90.00
_cell_angle_beta 90.00
_cell_angle_gamma 120.00
loop_
_atom_site_label
_atom_site_type_symbol
_atom_site_fract_x
_atom_site_fract_y
_atom_site_fract_z
Li1 Li 0.0000 0.0000 0.0000
Li2 Li 0.0000 0.5000 0.0000
Fe1 Fe 0.0000 0.5000 0.5000
Cu1 Cu 0.0000 0.0000 0.5000
O1 O 0.0000 0.0000 0.2432
O2 O 0.0005 0.5003 0.7564
# Uncorrected energy = -5.82 eV/atom